VASP calculation (PBE with a Hubbard U) on a relaxed LiCrBr2F crystal.

Summary:
Its total energy is -22.01 eV/cell.

Geometry as CIF:
```
data_LiCrBr2F
_space_group_name_H-M_alt 'P 1'
_space_group_IT_number 1
_cell_length_a 5.421
_cell_length_b 5.421
_cell_length_c 3.951
_cell_angle_alpha 90.00
_cell_angle_beta 90.00
_cell_angle_gamma 90.00
loop_
_space_group_symop_operation_xyz
'x,y,z'
loop_
_atom_site_label
_atom_site_fract_x
_atom_site_fract_y
_atom_site_fract_z
Li1 0.000 0.000 0.000
Cr1 0.500 0.500 0.500
Br1 0.000 0.500 0.500
Br2 0.500 0.000 0.500
F1 0.500 0.500 0.000
```